A plane-wave DFT calculation with PBE was carried out for a geometry-optimized LaTbNdMg structure.

- Crystal system: cubic
- Distance to the lowest polymorph of the same formula: 0.0526 eV/atom
- Mass density: 6.030 g/cm3
- ΔE_f: 0.02 eV/atom
- DFT total energy: -3.96 eV per atom

Cell lengths 5.6632, 5.6632, 5.6632 Å; angles 60.00, 60.00, 60.00 degrees
Closest atoms and distances in Å follow each position.
Fractional positions:
La1 0.0000 0.0000 0.0000  4 Tb 3.47, 4 Mg 3.47
Tb1 0.7500 0.7500 0.7500  4 La 3.47, 4 Nd 3.47
Nd1 0.5000 0.5000 0.5000  4 Tb 3.47, 4 Mg 3.47
Mg1 0.2500 0.2500 0.2500  4 La 3.47, 4 Nd 3.47

=====

A plane-wave DFT calculation with PBE was carried out for a geometry-optimized KFeIr2 structure.

- Crystal system: monoclinic
- Distance to the lowest polymorph of the same formula: 0.1233 eV/atom
- Mass density: 9.347 g/cm3
- ΔE_f: 0.56 eV/atom
- DFT total energy: -6.26 eV per atom

Cell lengths 5.2950, 5.2950, 6.4823 Å; angles 111.59, 111.59, 30.46 degrees
Closest atoms and distances in Å follow each position.
Fractional positions:
K1 0.0000 0.0000 0.0000  2 K 2.78
Fe1 0.1738 0.1738 0.6795  4 Ir 2.44-2.45
Ir1 0.4730 0.4730 0.4554  2 Fe 2.45, 2 Ir 2.57
Ir2 0.7594 0.7594 0.4480  2 Fe 2.44, 2 Ir 2.57

=====

A plane-wave DFT calculation with PBE was carried out for a geometry-optimized Tb2NdSm5Dy structure.

- Crystal system: orthorhombic
- Mass density: 7.439 g/cm3
- ΔE_f: 0.15 eV/atom
- DFT total energy: -4.55 eV per atom

Cell lengths 10.5192, 10.5192, 10.7125 Å; angles 90.00, 90.00, 148.78 degrees
Closest atoms and distances in Å follow each position.
Fractional positions:
Tb1 0.1103 0.8897 0.5000  7 Sm 3.44-3.82, 1 Nd 3.47, 2 Dy 3.71
Tb2 0.1161 0.8839 0.0838  9 Sm 3.35-3.76, 1 Nd 3.75
Tb3 0.8839 0.1161 0.5838  9 Sm 3.35-3.76, 1 Nd 3.75
Tb4 0.8897 0.1103 0.0000  7 Sm 3.44-3.82, 1 Nd 3.47, 2 Dy 3.71
Nd1 0.2018 0.7982 0.7736  2 Tb 3.47-3.75, 8 Sm 3.52-3.87, 2 Dy 3.69
Nd2 0.7982 0.2018 0.2736  2 Tb 3.47-3.75, 8 Sm 3.52-3.87, 2 Dy 3.69
Sm1 0.0169 0.9831 0.7877  2 Dy 3.26, 3 Tb 3.44-3.62
Sm2 0.2815 0.7185 0.0718  1 Dy 3.08, 1 Tb 3.35, 2 Sm 3.44
Sm3 0.2982 0.7018 0.4689  3 Sm 3.44-3.68, 3 Nd 3.52-3.80, 1 Dy 3.52, 3 Tb 3.54-3.82
Sm4 0.3928 0.6072 0.7890  5 Sm 3.48-3.79, 4 Tb 3.59-3.62, 1 Nd 3.87
Sm5 0.4789 0.5211 0.5047  2 Dy 3.20-3.34, 2 Sm 3.48-3.51, 2 Tb 3.53
Sm6 0.5211 0.4789 0.0047  2 Dy 3.20-3.34, 2 Sm 3.48-3.51, 2 Tb 3.53
Sm7 0.6072 0.3928 0.2890  5 Sm 3.48-3.79, 4 Tb 3.59-3.62, 1 Nd 3.87
Sm8 0.7018 0.2982 0.9689  3 Sm 3.44-3.68, 3 Nd 3.52-3.80, 1 Dy 3.52, 3 Tb 3.54-3.82
Sm9 0.7185 0.2815 0.5718  1 Dy 3.08, 1 Tb 3.35, 2 Sm 3.44
Sm10 0.9831 0.0169 0.2877  2 Dy 3.26, 3 Tb 3.44-3.62
Dy1 0.4118 0.5882 0.2202  5 Sm 3.08-3.34
Dy2 0.5882 0.4118 0.7202  5 Sm 3.08-3.34

=====

> The lowest DFT total energy belongs to which entry?

KFeIr2